A plane-wave DFT calculation with PBE-GGA was carried out for an optimized crystal structure of InIrOs4.

Lattice parameters (Å, degrees): 5.179 5.179 5.179 60.00 60.00 60.00
Sites, in units of the cell vectors:
Os 0.626 0.626 0.122
Ir 0.000 0.000 0.000
Os 0.626 0.626 0.626
Os 0.122 0.626 0.626
Os 0.626 0.122 0.626
In 0.250 0.250 0.250

## Properties
For the total DFT energy (no corrections), the calculation gives -51.39 eV for the cell shown. The calculation puts the energy of formation from the pure elements at 0.85 eV/atom. Its symmetry is F-43m.